A relaxed structure of BaLiY2Se4, computed with PBE.

Lattice parameters (Å, degrees): 4.2355 13.9345 14.3456 90.00 90.00 90.00
Space group Cmcm (No. 63)
Asymmetric unit:
Ba 0.0000 0.1170 0.2500 [4 per cell]
Li 0.0000 0.1550 0.7500 [4 per cell]
Y 0.0000 0.3727 0.0560 [8 per cell]
Se 0.0000 0.0000 0.0000 [4 per cell]
Se 0.0000 0.2653 0.6134 [8 per cell]
Se 0.0000 0.4380 0.2500 [4 per cell]

Output
Formation energy (no corrections): -41.7 kcal/mol of atoms
Total energy: -0.4150 Ry/atom
Density of states at the Fermi level: 8.3 states/eV/cell
Magnetization: 0.00 μB/f.u.